An optimized crystal structure of Sr2NbSe2, computed with PBE.

Its relative energy among the computed polymorphs is 0.238 eV/atom. Its electronic total energy is -4.71 eV/atom. The value obtained for the total magnetization is 5.8 Bohr magnetons per cell. The calculation puts the mass density at 4.05 Mg/m³. The calculation puts the uncorrected formation energy at -0.63 eV per atom. The volume comes out at 174.5 Å³/f.u. The crystal system is tetragonal.

The space group is I4/mmm (No. 139) and the conventional cell measures 6.2104, 6.2104 and 9.0474 Å, with angles of 90.00, 90.00 and 90.00 degrees. The asymmetric unit holds Sr at (0.0000, 0.5000, 0.2500), Nb at (0.0000, 0.0000, 0.0000) and Se at (0.0000, 0.0000, 0.2819).